Density functional theory data (PBE) for an optimized crystal structure of CsMgCd.

Lattice parameters (Å, degrees): 5.2764 5.2731 8.9230 90.00 90.00 90.00
Atoms (fractional coordinates):
Cd1 0.0000 0.0000 0.3437
Cd2 0.5000 0.5000 0.6563
Cs1 0.0000 0.0000 0.8456
Cs2 0.5000 0.5000 0.1543
Mg1 0.0000 0.5000 0.5000
Mg2 0.5000 0.0000 0.5000

Values from the calculation:
DFT total energy   -6.7 eV/cell
Magnetic moment   0.000 μB/f.u.
Energy above the lowest structure with this stoichiometry   0.0 meV/atom

---

Density functional theory data (PBE) for an optimized crystal structure of CsMg14Cd.

Lattice parameters (Å, degrees): 6.5311 6.5311 10.6731 90.00 90.00 116.15
Atoms (fractional coordinates):
Mg1 0.3336 0.1677 0.0000
Mg2 0.1780 0.3588 0.2304
Mg3 0.6412 0.8220 0.7696
Mg4 0.6590 0.3410 0.7635
Mg5 0.3227 0.6773 0.0000
Mg6 0.6590 0.3410 0.2365
Mg7 0.8203 0.6157 0.5000
Mg8 0.8323 0.6664 0.0000
Mg9 0.8340 0.1660 0.0000
Mg10 0.3843 0.1797 0.5000
Mg11 0.1566 0.8434 0.2563
Mg12 0.6412 0.8220 0.2304
Mg13 0.1780 0.3588 0.7696
Mg14 0.1566 0.8434 0.7437
Cs1 0.8716 0.1284 0.5000
Cd1 0.3319 0.6681 0.5000

Values from the calculation:
DFT total energy   -21.8 eV/cell
Magnetic moment   0.000 μB/f.u.
Energy above the lowest structure with this stoichiometry   0.0 meV/atom

---

Density functional theory data (PBE) for an optimized crystal structure of Cs3MgCd.

Lattice parameters (Å, degrees): 7.6324 7.6324 7.6324 90.00 90.00 90.00
Atoms (fractional coordinates):
Mg1 0.0000 0.0000 0.0000
Cd1 0.5000 0.5000 0.5000
Cs1 0.0000 0.5000 0.0000
Cs2 0.0000 0.0000 0.5000
Cs3 0.5000 0.0000 0.0000

Values from the calculation:
DFT total energy   -3.6 eV/cell
Magnetic moment   0.000 μB/f.u.

---

Density functional theory data (PBE) for an optimized crystal structure of CsMgCd17.

Lattice parameters (Å, degrees): 7.8728 7.8728 7.8728 83.81 83.81 83.81
Atoms (fractional coordinates):
Mg1 0.3322 0.3322 0.3322
Cd1 0.7096 0.0023 0.2876
Cd2 0.9138 0.9138 0.9138
Cd3 0.1941 0.6055 0.6055
Cd4 0.8888 0.3508 0.3508
Cd5 0.3508 0.3508 0.8888
Cd6 0.5280 0.9782 0.9782
Cd7 0.2876 0.7096 0.0023
Cd8 0.3508 0.8888 0.3508
Cd9 0.9782 0.5280 0.9782
Cd10 0.0023 0.2876 0.7096
Cd11 0.7096 0.2876 0.0023
Cd12 0.0023 0.7096 0.2876
Cd13 0.6055 0.1941 0.6055
Cd14 0.2876 0.0023 0.7096
Cd15 0.6055 0.6055 0.1941
Cd16 0.1179 0.1179 0.1179
Cd17 0.9782 0.9782 0.5280
Cs1 0.6573 0.6573 0.6573

Values from the calculation:
DFT total energy   -17.7 eV/cell
Magnetic moment   0.000 μB/f.u.

---

Density functional theory data (PBE) for an optimized crystal structure of CsMg14Cd.

Lattice parameters (Å, degrees): 6.5600 6.5600 10.8956 90.00 90.00 120.00
Atoms (fractional coordinates):
Mg1 0.1713 0.3425 0.2688
Mg2 0.4951 0.5049 0.0000
Mg3 0.6575 0.8287 0.2688
Mg4 0.1713 0.8287 0.7312
Mg5 0.1713 0.3425 0.7312
Mg6 0.6667 0.3333 0.7600
Mg7 0.6575 0.8287 0.7312
Mg8 0.9918 0.4959 0.5000
Mg9 0.0097 0.5049 0.0000
Mg10 0.4951 0.9903 0.0000
Mg11 0.1713 0.8287 0.2688
Mg12 0.5041 0.0082 0.5000
Mg13 0.6667 0.3333 0.2400
Mg14 0.5041 0.4959 0.5000
Cd1 0.0000 0.0000 0.5000
Cs1 0.0000 0.0000 0.0000

Values from the calculation:
DFT total energy   -21.6 eV/cell
Magnetic moment   0.000 μB/f.u.
Energy above the lowest structure with this stoichiometry   8.6 meV/atom

---

Density functional theory data (PBE) for an optimized crystal structure of Cs2MgCd2.

Lattice parameters (Å, degrees): 5.1044 5.1044 12.0379 77.76 77.76 60.00
Atoms (fractional coordinates):
Cd1 0.3199 0.3199 0.0404
Cd2 0.6801 0.6801 0.9596
Mg1 0.0000 0.0000 0.0000
Cs1 0.4278 0.4278 0.7167
Cs2 0.5722 0.5722 0.2833

Values from the calculation:
DFT total energy   -5.4 eV/cell
Magnetic moment   0.000 μB/f.u.
Energy above the lowest structure with this stoichiometry   0.0 meV/atom

---

We obtain formation energy from the elements values of -0.0009 0.1462 0.2882 0.0170 0.1548 -0.0524 eV/atom for the records listed above, in that order.
We obtain Fermi-level density of states values of 0.57 0.39 1.19 0.42 0.48 0.52 states/eV per atom for the records listed above, in that order.